# CsSrSiHRh, optimized geometry, DFT PBE
# polymorph energy (0 for the lowest one)	0.0000	eV per atom
# total DFT energy (no corrections)	-4.00	eV per atom
# crystal system	monoclinic
data_CsSrSiHRh
_chemical_formula_sum 'Cs2 Sr2 Si2 H2 Rh2'
_cell_length_a 10.814
_cell_length_b 4.150
_cell_length_c 7.537
_cell_angle_alpha 90.00
_cell_angle_beta 115.60
_cell_angle_gamma 90.00
_space_group_name_H-M_alt 'C 1 m 1'
_space_group_IT_number 8
loop_
_space_group_symop_operation_xyz
'x,y,z'
'x,-y,z'
'x+1/2,y+1/2,z'
'x+1/2,-y+1/2,z'
loop_
_atom_site_label
_atom_site_fract_x
_atom_site_fract_y
_atom_site_fract_z
_atom_site_occupancy
Cs1 0.000 0.000 0.000 1
Sr1 0.105 0.500 0.543 1
Si1 0.346 0.500 0.391 1
H1 0.282 0.000 0.700 1
Rh1 0.308 0.000 0.493 1

=====

# Nd4InHg2, optimized geometry, DFT PBE
# total DFT energy (no corrections)	-3.52	eV per atom
# DFT formation energy	-0.32	eV/atom
# crystal system	trigonal
data_Nd4InHg2
_chemical_formula_sum 'Nd12 In3 Hg6'
_cell_length_a 5.3859
_cell_length_b 5.3859
_cell_length_c 25.6030
_cell_angle_alpha 90.00
_cell_angle_beta 90.00
_cell_angle_gamma 120.00
_space_group_name_H-M_alt 'R -3 m'
_space_group_IT_number 166
_space_group_name_Hall '-R 3 2"'
loop_
_atom_site_label
_atom_site_fract_x
_atom_site_fract_y
_atom_site_fract_z
_atom_site_occupancy
Nd1 0.0000 0.0000 0.1149 1
Nd2 0.0000 0.0000 0.3690 1
In1 0.0000 0.0000 0.5000 1
Hg1 0.0000 0.0000 0.2435 1